<A>
A relaxed structure of HfAsO, computed with GGA-PBE.

abc: 3.5608 3.5608 4.4211
angles: 90.00 90.00 120.00
With the nearest neighbours (Å) after each atom.
Space group P-6m2 (No. 187)
Unique sites:
Hf: 0.0000 0.0000 0.0000 (multiplicity 1)  3 O 2.06
As: 0.3333 0.6667 0.5000 (multiplicity 1)  6 Hf 3.02, 6 O 3.02
O: 0.6667 0.3333 0.0000 (multiplicity 1)  3 Hf 2.06

Computed properties:
Density of states at the Fermi level in states/eV per atom: 0.3375
Total magnetization in μB per formula unit: 0.0

<B>
A relaxed structure of HfAsO, computed with GGA-PBE.

abc: 3.0162 5.4448 3.0643
angles: 90.00 90.00 90.00
With the nearest neighbours (Å) after each atom.
Space group Pmm2 (No. 25)
Unique sites:
Hf: 0.0000 0.0000 0.0000 (multiplicity 1)  4 O 2.14-2.16
As: 0.0000 0.5000 0.0813 (multiplicity 1)  2 Hf 2.73, 2 As 3.02
O: 0.5000 0.0000 0.5046 (multiplicity 1)  4 Hf 2.14-2.16

Computed properties:
Density of states at the Fermi level in states/eV per atom: 0.4155
Total magnetization in μB per formula unit: 0.0

Winner for stability: <B>

<A>
A relaxed structure of HfAsPO2, computed with GGA-PBE.

abc: 3.9595 3.9595 5.6392
angles: 90.00 90.00 90.00
With the nearest neighbours (Å) after each atom.
Space group P4/mmm (No. 123)
Unique sites:
Hf: 0.0000 0.0000 0.0000 (multiplicity 1)  4 O 1.98
As: 0.5000 0.5000 0.5000 (multiplicity 1)  4 P 2.80
P: 0.0000 0.0000 0.5000 (multiplicity 1)  4 As 2.80, 2 Hf 2.82
O: 0.0000 0.5000 0.0000 (multiplicity 2)  2 Hf 1.98

Computed properties:
Density of states at the Fermi level in states/eV per atom: 0.7111
Total magnetization in μB per formula unit: 0.5

<B>
A relaxed structure of HfAsPO2, computed with GGA-PBE.

abc: 3.8616 3.8616 4.8284
angles: 90.00 90.00 90.00
With the nearest neighbours (Å) after each atom.
Space group P4/mmm (No. 123)
Unique sites:
Hf: 0.0000 0.0000 0.0000 (multiplicity 1)  4 P 2.73
As: 0.5000 0.5000 0.5000 (multiplicity 1)  4 O 1.93
P: 0.5000 0.5000 0.0000 (multiplicity 1)  2 As 2.41
O: 0.0000 0.5000 0.5000 (multiplicity 2)  2 As 1.93

Computed properties:
Density of states at the Fermi level in states/eV per atom: 0.3817
Total magnetization in μB per formula unit: 0.0

Winner for stability: <A>

<A>
A relaxed structure of HfAsOs2, computed with GGA-PBE.

abc: 6.3808 6.3808 6.3808
angles: 90.00 90.00 90.00
With the nearest neighbours (Å) after each atom.
Space group Fm-3m (No. 225)
Unique sites:
Hf: 0.0000 0.0000 0.0000 (multiplicity 4)  8 Os 2.76
As: 0.0000 0.0000 0.5000 (multiplicity 4)  8 Os 2.76
Os: 0.2500 0.2500 0.2500 (multiplicity 8)  4 Hf 2.76, 4 As 2.76

Computed properties:
Density of states at the Fermi level in states/eV per atom: 0.7037
Total magnetization in μB per formula unit: 0.0

<B>
A relaxed structure of HfAsOs2, computed with GGA-PBE.

abc: 7.2180 7.2180 5.4289
angles: 90.00 90.00 90.00
With the nearest neighbours (Å) after each atom.
Space group I-42d (No. 122)
Unique sites:
Hf: 0.0000 0.0000 0.0000 (multiplicity 4)  2 As 2.71, 4 Os 2.96
As: 0.0000 0.0000 0.5000 (multiplicity 4)  4 Os 2.36
Os: 0.1894 0.2500 0.6250 (multiplicity 8)  2 As 2.36

Computed properties:
Density of states at the Fermi level in states/eV per atom: 1.3927
Total magnetization in μB per formula unit: 0.0

Winner for stability: <A>

<A>
A relaxed structure of HfAs3Os, computed with GGA-PBE.

abc: 5.0485 5.0485 5.0485
angles: 90.00 90.00 90.00
With the nearest neighbours (Å) after each atom.
Space group Pm-3m (No. 221)
Unique sites:
Hf: 0.0000 0.0000 0.0000 (multiplicity 1)  6 As 2.52
As: 0.0000 0.0000 0.5000 (multiplicity 3)  2 Hf 2.52
Os: 0.5000 0.5000 0.5000 (multiplicity 1)  12 As 3.57

Computed properties:
Density of states at the Fermi level in states/eV per atom: 2.1878
Total magnetization in μB per formula unit: 2.7

<B>
A relaxed structure of HfAs3Os, computed with GGA-PBE.

abc: 4.7941 4.7941 4.7941
angles: 90.00 90.00 90.00
With the nearest neighbours (Å) after each atom.
Space group Pm-3m (No. 221)
Unique sites:
Hf: 0.0000 0.0000 0.0000 (multiplicity 1)  12 As 3.39
As: 0.0000 0.5000 0.5000 (multiplicity 3)  2 Os 2.40
Os: 0.5000 0.5000 0.5000 (multiplicity 1)  6 As 2.40

Computed properties:
Density of states at the Fermi level in states/eV per atom: 1.3921
Total magnetization in μB per formula unit: 0.0

Winner for stability: <B>

<A>
A relaxed structure of HfAs2Os, computed with GGA-PBE.

abc: 6.4241 6.4241 6.4241
angles: 90.00 90.00 90.00
With the nearest neighbours (Å) after each atom.
Space group Fm-3m (No. 225)
Unique sites:
Hf: 0.0000 0.0000 0.0000 (multiplicity 4)  8 As 2.78
As: 0.2500 0.2500 0.2500 (multiplicity 8)  4 Hf 2.78, 4 Os 2.78
Os: 0.0000 0.0000 0.5000 (multiplicity 4)  8 As 2.78

Computed properties:
Density of states at the Fermi level in states/eV per atom: 1.5038
Total magnetization in μB per formula unit: 0.0

<B>
A relaxed structure of HfAs2Os, computed with GGA-PBE.

abc: 4.0812 4.0812 17.8006
angles: 90.00 90.00 90.00
With the nearest neighbours (Å) after each atom.
Space group I-42d (No. 122)
Unique sites:
Hf: 0.0000 0.0000 0.0000 (multiplicity 4)  4 As 2.70, 4 Os 2.89
As: 0.2193 0.2500 0.6250 (multiplicity 8)  2 Os 2.61, 2 Hf 2.70, 2 As 2.71
Os: 0.0000 0.0000 0.5000 (multiplicity 4)  4 As 2.61, 4 Hf 2.89

Computed properties:
Density of states at the Fermi level in states/eV per atom: 0.6840
Total magnetization in μB per formula unit: 0.0

Winner for stability: <A>

<A>
A relaxed structure of HfAs2OsSe, computed with GGA-PBE.

abc: 5.1459 5.1459 4.9656
angles: 90.00 90.00 90.00
With the nearest neighbours (Å) after each atom.
Space group P4/mmm (No. 123)
Unique sites:
Hf: 0.0000 0.0000 0.0000 (multiplicity 1)  2 Se 2.48, 4 As 2.57
As: 0.0000 0.5000 0.0000 (multiplicity 2)  2 Hf 2.57
Os: 0.5000 0.5000 0.5000 (multiplicity 1)  8 As 3.58, 4 Se 3.64
Se: 0.0000 0.0000 0.5000 (multiplicity 1)  2 Hf 2.48

Computed properties:
Density of states at the Fermi level in states/eV per atom: 1.2458
Total magnetization in μB per formula unit: 2.9

<B>
A relaxed structure of HfAs2OsSe, computed with GGA-PBE.

abc: 4.6547 4.6547 5.2259
angles: 90.00 90.00 90.00
With the nearest neighbours (Å) after each atom.
Space group P4/mmm (No. 123)
Unique sites:
Hf: 0.0000 0.0000 0.0000 (multiplicity 1)  4 Se 3.29, 8 As 3.50
As: 0.0000 0.5000 0.5000 (multiplicity 2)  2 Os 2.33
Os: 0.5000 0.5000 0.5000 (multiplicity 1)  4 As 2.33
Se: 0.5000 0.5000 0.0000 (multiplicity 1)  2 Os 2.61

Computed properties:
Density of states at the Fermi level in states/eV per atom: 1.0161
Total magnetization in μB per formula unit: 0.0

Winner for stability: <B>

<A>
A relaxed structure of Hf2AsP2, computed with GGA-PBE.

abc: 7.2453 7.2453 3.4040
angles: 90.00 90.00 90.00
With the nearest neighbours (Å) after each atom.
Space group P4/mbm (No. 127)
Unique sites:
Hf: 0.1603 0.3397 0.0000 (multiplicity 4)  6 P 2.72-2.73, 2 As 2.72
As: 0.0000 0.0000 0.0000 (multiplicity 2)  4 Hf 2.72
P: 0.1328 0.6328 0.5000 (multiplicity 4)  6 Hf 2.72-2.73, 1 P 2.72

Computed properties:
Density of states at the Fermi level in states/eV per atom: 0.2509
Total magnetization in μB per formula unit: 0.0

<B>
A relaxed structure of Hf2AsP2, computed with GGA-PBE.

abc: 3.5429 3.5429 13.9031
angles: 90.00 90.00 90.00
With the nearest neighbours (Å) after each atom.
Space group I4/mmm (No. 139)
Unique sites:
Hf: 0.0000 0.0000 0.1093 (multiplicity 4)  4 P 2.64, 4 As 2.93
As: 0.0000 0.0000 0.5000 (multiplicity 2)  8 Hf 2.93
P: 0.0000 0.5000 0.2500 (multiplicity 4)  4 P 2.51, 4 Hf 2.64

Computed properties:
Density of states at the Fermi level in states/eV per atom: 0.4204
Total magnetization in μB per formula unit: 0.0

Winner for stability: <A>